Mg2TeW | PBE | relaxed

Cell and atoms, written as POSCAR:
```
Mg2TeW
1.0
-4.562 -2.981 -0.454
3.797 -1.392 -3.681
1.086 -1.942 1.856
Mg W Te
2 1 1
Direct
0.500 0.500 0.000
0.000 0.000 0.000
0.000 0.500 0.500
0.500 0.000 0.500
```

Mass density: 7.5 g cm⁻³
SG: Cmmm
Formation energy (no corrections): 0.436 eV per atom
DFT total energy: -4.385 eV per atom
Spin magnetization: 0.00 μB/atom

---

MgTeW2 | PBE | relaxed

Cell and atoms, written as POSCAR:
```
MgTeW2
1.0
-0.694 -2.520 -1.174
2.773 0.026 0.722
-2.261 -3.487 8.819
Te W Mg
1 2 1
Direct
0.500 0.500 0.750
0.000 0.000 0.493
0.000 0.000 0.007
0.500 0.500 0.250
```

E above lowest polymorph: 583 meV per atom
Mass density: 11.5 g cm⁻³
SG: Cmmm
Formation energy (no corrections): 0.962 eV per atom
DFT total energy: -6.699 eV per atom
Spin magnetization: 0.00 μB/atom

---

Mg2TeW | PBE | relaxed

Cell and atoms, written as POSCAR:
```
Mg2TeW
1.0
-7.645 2.461 -0.257
-1.444 -3.758 6.954
-3.862 1.614 4.713
W Mg Te
2 4 2
Direct
0.000 0.000 0.000
0.750 0.250 0.500
0.638 0.125 0.250
0.875 0.888 0.750
0.112 0.625 0.250
0.375 0.362 0.750
0.500 0.500 0.000
0.250 0.750 0.500
```

Mass density: 6.8 g cm⁻³
SG: I-42d
Formation energy (no corrections): 0.802 eV per atom
DFT total energy: -4.019 eV per atom
Spin magnetization: 0.00 μB/atom

---

Mg2TeW | PBE | relaxed

Cell and atoms, written as POSCAR:
```
Mg2TeW
1.0
4.769 0.000 0.000
0.000 3.086 0.243
0.000 1.096 5.648
Mg W Te
2 1 1
Direct
0.500 0.302 0.268
0.000 0.952 0.972
0.500 0.563 0.751
0.000 0.683 0.509
```

Mass density: 7.3 g cm⁻³
SG: Pm
Formation energy (no corrections): 0.374 eV per atom
DFT total energy: -4.447 eV per atom
Spin magnetization: 0.00 μB/atom

---

Mg2TeW | PBE | relaxed

Cell and atoms, written as POSCAR:
```
Mg2TeW
1.0
-0.518 1.670 -2.975
-0.660 -4.094 -2.184
-4.744 0.249 0.966
Mg Te W
2 1 1
Direct
0.000 0.000 0.000
0.500 0.500 0.000
0.500 0.000 0.500
0.000 0.500 0.500
```

Mass density: 7.6 g cm⁻³
SG: Pmmm
Formation energy (no corrections): 0.551 eV per atom
DFT total energy: -4.270 eV per atom
Spin magnetization: 0.00 μB/atom

---

MgTeW2 | PBE | relaxed

Cell and atoms, written as POSCAR:
```
MgTeW2
1.0
3.932 0.000 0.000
0.000 3.932 0.000
1.966 1.966 10.026
Te Mg W
2 2 4
Direct
0.750 0.250 0.500
0.000 0.000 0.000
0.500 0.500 0.000
0.250 0.750 0.500
0.875 0.861 0.750
0.139 0.625 0.250
0.611 0.125 0.250
0.375 0.389 0.750
```

E above lowest polymorph: 388 meV per atom
Mass density: 11.1 g cm⁻³
SG: I-42d
Formation energy (no corrections): 0.767 eV per atom
DFT total energy: -6.894 eV per atom
Spin magnetization: 0.00 μB/atom

---

MgTeW2 | PBE | relaxed

Cell and atoms, written as POSCAR:
```
MgTeW2
1.0
5.015 0.012 0.000
1.499 4.786 0.000
-3.257 -2.399 2.964
W Mg Te
2 1 1
Direct
0.250 0.750 0.500
0.000 0.000 0.000
0.500 0.500 0.000
0.750 0.250 0.500
```

E above lowest polymorph: 311 meV per atom
Mass density: 12.1 g cm⁻³
SG: I-4m2
Formation energy (no corrections): 0.690 eV per atom
DFT total energy: -6.971 eV per atom
Spin magnetization: 0.00 μB/atom

---

MgTeW2 | PBE | relaxed

Cell and atoms, written as POSCAR:
```
MgTeW2
1.0
0.000 3.275 3.275
3.275 0.000 3.275
3.275 3.275 0.000
Mg W Te
1 2 1
Direct
0.000 0.000 0.000
0.750 0.750 0.750
0.250 0.250 0.250
0.500 0.500 0.500
```

E above lowest polymorph: 578 meV per atom
Mass density: 12.3 g cm⁻³
SG: Fm-3m
Formation energy (no corrections): 0.957 eV per atom
DFT total energy: -6.703 eV per atom
Spin magnetization: 0.00 μB/atom

---

MgTeW2 | PBE | relaxed

Cell and atoms, written as POSCAR:
```
MgTeW2
1.0
-0.901 -1.659 2.678
3.009 0.371 1.242
-2.233 6.711 3.406
Mg Te W
1 1 2
Direct
0.000 0.000 0.439
0.500 0.500 0.815
0.000 0.000 0.035
0.500 0.500 0.211
```

E above lowest polymorph: 4 meV per atom
Mass density: 10.2 g cm⁻³
SG: P4mm
Formation energy (no corrections): 0.383 eV per atom
DFT total energy: -7.278 eV per atom
Spin magnetization: 0.00 μB/atom

---

Mg2TeW | PBE | relaxed

Cell and atoms, written as POSCAR:
```
Mg2TeW
1.0
-5.444 1.331 0.471
-5.005 -2.033 1.563
-1.218 1.196 4.175
W Te Mg
1 1 2
Direct
0.250 0.250 0.250
0.750 0.750 0.750
0.504 0.504 0.496
0.996 0.996 0.004
```

Mass density: 7.7 g cm⁻³
SG: Immm
Formation energy (no corrections): 0.471 eV per atom
DFT total energy: -4.350 eV per atom
Spin magnetization: 0.16 μB/atom

---

Mg2TeW | PBE | relaxed

Cell and atoms, written as POSCAR:
```
Mg2TeW
1.0
-2.055 1.647 -1.631
1.868 -1.641 -1.847
-6.169 -7.383 0.318
W Te Mg
1 1 2
Direct
0.500 0.500 0.750
0.000 0.000 0.530
0.000 0.000 0.980
0.500 0.500 0.240
```

Mass density: 7.0 g cm⁻³
SG: Cmm2
Formation energy (no corrections): 0.504 eV per atom
DFT total energy: -4.318 eV per atom
Spin magnetization: 0.00 μB/atom

---

Mg2Te4W | PBE | relaxed

Cell and atoms, written as POSCAR:
```
Mg2Te4W
1.0
5.586 0.000 0.000
0.000 5.586 0.000
2.793 2.793 6.823
Mg Te W
2 4 1
Direct
0.393 0.393 0.213
0.607 0.607 0.787
0.500 0.000 0.000
0.195 0.195 0.609
0.805 0.805 0.391
0.000 0.500 0.000
0.000 0.000 0.000
```

Mass density: 5.8 g cm⁻³
SG: I4/mmm
Formation energy (no corrections): 0.146 eV per atom
DFT total energy: -3.955 eV per atom
Spin magnetization: 0.17 μB/atom

---

Mg2TeW | PBE | relaxed

Cell and atoms, written as POSCAR:
```
Mg2TeW
1.0
-3.969 -0.806 -1.837
1.269 -4.164 -0.914
-1.376 -1.186 3.493
Mg Te W
2 1 1
Direct
0.000 0.000 0.000
0.500 0.500 0.000
0.500 0.000 0.500
0.000 0.500 0.500
```

Mass density: 7.7 g cm⁻³
SG: P4/mmm
Formation energy (no corrections): 0.532 eV per atom
DFT total energy: -4.289 eV per atom
Spin magnetization: 0.23 μB/atom

---

MgTeW2 | PBE | relaxed

Cell and atoms, written as POSCAR:
```
MgTeW2
1.0
-1.955 3.365 -2.608
0.734 0.102 -4.626
-3.486 -1.050 -2.948
Te Mg W
1 1 2
Direct
0.250 0.250 0.250
0.500 0.500 0.500
0.000 0.000 0.000
0.750 0.750 0.750
```

E above lowest polymorph: 299 meV per atom
Mass density: 11.9 g cm⁻³
SG: F-43m
Formation energy (no corrections): 0.677 eV per atom
DFT total energy: -6.983 eV per atom
Spin magnetization: 0.00 μB/atom

---

YMg2Te | PBE | relaxed

Cell and atoms, written as POSCAR:
```
YMg2Te
1.0
3.981 0.000 0.000
0.000 4.005 0.318
0.000 3.510 6.809
Y Te Mg
1 1 2
Direct
0.500 0.768 0.733
0.000 0.477 0.525
0.000 0.983 0.016
0.500 0.271 0.226
```

Mass density: 4.2 g cm⁻³
SG: Pm
Formation energy (no corrections): -0.498 eV per atom
DFT total energy: -3.697 eV per atom
Spin magnetization: 0.00 μB/atom

---

YMgTe3 | PBE | relaxed

Cell and atoms, written as POSCAR:
```
YMgTe3
1.0
-0.347 -4.383 0.933
5.183 0.446 4.024
-10.478 2.326 7.029
Te Y Mg
6 2 2
Direct
0.750 0.842 0.082
0.250 0.157 0.399
0.750 0.509 0.219
0.250 0.491 0.781
0.750 0.843 0.601
0.250 0.158 0.918
0.250 0.177 0.163
0.750 0.823 0.837
0.750 0.893 0.386
0.250 0.107 0.614
```

E above lowest polymorph: 0 meV per atom
Mass density: 4.5 g cm⁻³
SG: P2_1/m
Formation energy (no corrections): -0.927 eV per atom
DFT total energy: -4.423 eV per atom
Spin magnetization: 0.00 μB/atom

---

Y6MgTe8 | PBE | relaxed

Cell and atoms, written as POSCAR:
```
Y6MgTe8
1.0
7.539 0.000 4.353
2.513 7.108 4.353
0.000 0.000 8.705
Te Y Mg
8 6 1
Direct
0.246 0.754 0.246
0.754 0.246 0.246
0.250 0.250 0.250
0.246 0.754 0.754
0.246 0.246 0.754
0.754 0.246 0.754
0.754 0.754 0.246
0.750 0.750 0.750
0.000 0.000 0.500
0.500 0.500 0.000
0.000 0.500 0.000
0.500 0.000 0.500
0.000 0.500 0.500
0.500 0.000 0.000
0.000 0.000 0.000
```

Mass density: 5.6 g cm⁻³
SG: Fm-3m
Formation energy (no corrections): -1.303 eV per atom
DFT total energy: -5.671 eV per atom
Spin magnetization: 0.00 μB/atom

---

Y2MgTe2 | PBE | relaxed

Cell and atoms, written as POSCAR:
```
Y2MgTe2
1.0
8.408 0.000 0.000
0.000 8.408 0.000
0.000 0.000 3.930
Te Y Mg
4 4 2
Direct
0.853 0.647 0.000
0.147 0.353 0.000
0.353 0.853 0.000
0.647 0.147 0.000
0.151 0.651 0.500
0.849 0.349 0.500
0.651 0.849 0.500
0.349 0.151 0.500
0.000 0.000 0.000
0.500 0.500 0.000
```

E above lowest polymorph: 0 meV per atom
Mass density: 5.5 g cm⁻³
SG: P4/mbm
Formation energy (no corrections): -0.874 eV per atom
DFT total energy: -5.035 eV per atom
Spin magnetization: 0.00 μB/atom

---

YMgTe3 | PBE | relaxed

Cell and atoms, written as POSCAR:
```
YMgTe3
1.0
-2.539 4.770 -0.152
-3.294 -1.876 -3.853
-3.453 -1.717 3.788
Te Mg Y
3 1 1
Direct
0.000 0.000 0.500
0.000 0.500 0.000
0.500 0.000 0.000
0.000 0.000 0.000
0.500 0.500 0.500
```

E above lowest polymorph: 632 meV per atom
Mass density: 5.2 g cm⁻³
SG: Pm-3m
Formation energy (no corrections): -0.294 eV per atom
DFT total energy: -3.791 eV per atom
Spin magnetization: 0.00 μB/atom

---

YMgTe3 | PBE | relaxed

Cell and atoms, written as POSCAR:
```
YMgTe3
1.0
-2.950 -3.157 -3.916
5.022 -2.104 -2.088
-0.283 -4.429 3.783
Mg Te Y
1 3 1
Direct
0.500 0.500 0.500
0.000 0.500 0.000
0.000 0.000 0.500
0.500 0.000 0.000
0.000 0.000 0.000
```

E above lowest polymorph: 680 meV per atom
Mass density: 4.2 g cm⁻³
SG: Pm-3m
Formation energy (no corrections): -0.246 eV per atom
DFT total energy: -3.743 eV per atom
Spin magnetization: 0.00 μB/atom